No. 1
Computed, not measured: crystalline ScIn3Ga at its relaxed geometry at the PBE level of DFT.

Computed properties:
The value obtained for the theoretical density is 4.3 g/cm3. Its space group is No. 221. For the energy of formation from the pure elements, the calculation gives 0.50 eV/atom. The offset from the most stable computed form is 141 meV/atom.

The structure in extended XYZ format:
```
5
Lattice="5.5973 0.0000 0.0000 0.0000 5.5973 0.0000 0.0000 0.0000 5.5973" Properties=species:S:1:pos:R:3 pbc="T T T"
Ga 2.7986 2.7986 2.7986
In 0.0000 0.0000 2.7986
In 0.0000 2.7986 0.0000
In 2.7986 0.0000 0.0000
Sc 0.0000 0.0000 0.0000
```

=====

No. 2
Computed, not measured: crystalline Pa2SiN at its relaxed geometry at the PBE level of DFT.

Computed properties:
The value obtained for the theoretical density is 10.9 g/cm3. As for the raw formation energy: -0.8575 eV/atom. Its space group is No. 166. The offset from the most stable computed form is 0 meV/atom.

The structure in extended XYZ format:
```
4
Lattice="3.7256 0.0000 0.0000 1.8628 3.2265 0.0000 1.8628 1.0755 6.4050" Properties=species:S:1:pos:R:3 pbc="T T T"
Si 0.0000 0.0000 0.0000
N 3.7256 2.1510 3.2025
Pa 5.5884 3.2265 4.5501
Pa 1.8628 1.0755 1.8548
```

=====

No. 3
Computed, not measured: crystalline PuGeHIr2 at its relaxed geometry at the PBE level of DFT.

Computed properties:
The value obtained for the theoretical density is 15.1 g/cm3. Its space group is No. 63. Its total DFT energy (no corrections) is -8.3776 eV/atom.

The structure in extended XYZ format:
```
10
Lattice="-1.7653 3.5286 0.4162 -3.9746 -4.2054 -0.1141 0.4460 -0.6141 7.0981" Properties=species:S:1:pos:R:3 pbc="T T T"
Pu -1.3670 1.3113 1.9942
Pu -3.9269 -2.6022 5.4061
Ir -1.1141 -1.3555 6.7666
Ir -4.0022 -0.1799 3.4601
Ir -4.1798 0.0646 0.6337
Ir -1.2917 -1.1109 3.9401
H 0.2230 -0.3070 3.5491
H 0.0000 0.0000 0.0000
Ge -2.6823 0.2312 5.5730
Ge -2.6116 -1.5221 1.8272
```

=====

No. 4
Computed, not measured: crystalline LiLaCl at its relaxed geometry at the PBE level of DFT.

Computed properties:
The value obtained for the theoretical density is 4.1 g/cm3. As for the raw formation energy: -0.1621 eV/atom. Its space group is No. 216. The offset from the most stable computed form is 772 meV/atom.

The structure in extended XYZ format:
```
3
Lattice="-0.0877 -0.4454 4.6807 -2.2642 -3.6174 1.9757 2.4342 -3.4442 2.0802" Properties=species:S:1:pos:R:3 pbc="T T T"
La 0.0411 -3.7535 4.3683
Li 0.0617 -5.6302 6.5525
Cl 0.0000 0.0000 0.0000
```

=====

No. 5
Computed, not measured: crystalline CdBSbTe2 at its relaxed geometry at the PBE level of DFT.

Computed properties:
The value obtained for the theoretical density is 6.9 g/cm3. As for the raw formation energy: 0.6403 eV/atom. Its space group is No. 123. The offset from the most stable computed form is 0 meV/atom.

The structure in extended XYZ format:
```
5
Lattice="4.9627 0.0000 0.0000 0.0000 4.9627 0.0000 0.0000 0.0000 4.8961" Properties=species:S:1:pos:R:3 pbc="T T T"
Cd 2.4813 2.4813 2.4481
Te 2.4813 0.0000 0.0000
Te 0.0000 2.4813 0.0000
B 0.0000 0.0000 0.0000
Sb 0.0000 0.0000 2.4481
```

=====

No. 6
Computed, not measured: crystalline PmRuO4F at its relaxed geometry at the PBE level of DFT.

Computed properties:
The value obtained for the theoretical density is 4.5 g/cm3. As for the raw formation energy: -2.0175 eV/atom. Its space group is No. 12.

The structure in extended XYZ format:
```
14
Lattice="-0.7524 -4.3931 -4.1926 5.3423 -2.9763 -0.2103 -1.2408 -5.7361 3.9397" Properties=species:S:1:pos:R:3 pbc="T T T"
Pm -0.1860 -6.6633 2.6552
Pm 3.5352 -6.4423 -3.1185
O 1.1998 -7.7076 0.9058
O 2.8599 -8.1655 -1.4719
O 0.4893 -4.9400 1.0087
O 3.2457 -9.8411 0.9926
O 0.1034 -3.2645 -1.4558
O 2.1493 -5.3979 -1.3691
O 2.2732 -2.7601 -0.0381
O 1.0760 -10.3455 -0.4251
F 3.5111 -12.0137 -1.0996
F -0.1620 -1.0918 0.6364
Ru 2.1009 -8.8734 -0.0586
Ru 1.2482 -4.2322 -0.4047
```

=====

No. 7
Computed, not measured: crystalline Ba2AlHgW at its relaxed geometry at the PBE level of DFT.

Computed properties:
The value obtained for the theoretical density is 5.6 g/cm3. Its space group is No. 123. For the energy of formation from the pure elements, the calculation gives 0.80 eV/atom.

The structure in extended XYZ format:
```
5
Lattice="6.4191 0.0000 0.0000 0.0000 4.9208 0.0000 0.0000 0.0000 6.4191" Properties=species:S:1:pos:R:3 pbc="T T T"
Al 0.0000 0.0000 0.0000
W 0.0000 2.4604 0.0000
Hg 3.2096 2.4604 3.2096
Ba 0.0000 0.0000 3.2096
Ba 3.2096 0.0000 0.0000
```

=====

No. 8
Computed, not measured: crystalline CaTe2Br at its relaxed geometry at the PBE level of DFT.

Computed properties:
The value obtained for the theoretical density is 4.5 g/cm3. As for the raw formation energy: -0.8513 eV/atom. Its space group is No. 122. The offset from the most stable computed form is 197 meV/atom.

The structure in extended XYZ format:
```
8
Lattice="4.7821 0.0000 0.0000 0.0000 4.7821 0.0000 2.3910 2.3910 12.1918" Properties=species:S:1:pos:R:3 pbc="T T T"
Br 0.0000 0.0000 0.0000
Br 4.7821 2.3910 6.0959
Te 3.5866 4.0294 9.1438
Te 5.9776 5.5348 9.1438
Te 3.1438 1.1955 3.0479
Te 1.6383 3.5866 3.0479
Ca 2.3910 4.7821 6.0959
Ca 2.3910 2.3910 0.0000
```

=====

No. 9
Computed, not measured: crystalline Ce2InRu at its relaxed geometry at the PBE level of DFT.

Computed properties:
The value obtained for the theoretical density is 9.1 g/cm3. Its space group is No. 123. For the energy of formation from the pure elements, the calculation gives -0.22 eV/atom. The offset from the most stable computed form is 135 meV/atom.

The structure in extended XYZ format:
```
4
Lattice="4.3817 0.0000 0.0000 0.0000 4.5392 0.0000 0.0000 0.0000 4.5392" Properties=species:S:1:pos:R:3 pbc="T T T"
In 2.1909 0.0000 0.0000
Ce 0.0000 0.0000 2.2696
Ce 0.0000 2.2696 0.0000
Ru 2.1909 2.2696 2.2696
```

=====

No. 10
Computed, not measured: crystalline CaCd5Ag6 at its relaxed geometry at the PBE level of DFT.

Computed properties:
The value obtained for the theoretical density is 8.5 g/cm3. Its space group is No. 12. For the energy of formation from the pure elements, the calculation gives -0.10 eV/atom.

The structure in extended XYZ format:
```
12
Lattice="4.5332 0.0055 -1.2645 -3.2961 6.8428 -3.0686 -0.1511 -0.5207 8.1738" Properties=species:S:1:pos:R:3 pbc="T T T"
Ag 0.8271 0.3931 2.9354
Ag 0.2588 5.9346 0.9053
Ag 1.3388 3.4061 4.7658
Ag -0.2528 2.9216 -0.9251
Ag -1.4695 4.6273 3.4419
Ag 2.5554 1.7004 0.3989
Cd -1.1832 1.8958 4.4845
Cd 0.5430 3.1639 1.9204
Cd -2.2641 4.4264 0.6208
Cd 1.6133 0.6578 5.7465
Cd -0.5274 5.6699 -1.9058
Ca 0.0000 0.0000 0.0000
```

=====

No. 11
Computed, not measured: crystalline PmGaTe2 at its relaxed geometry at the PBE level of DFT.

Computed properties:
The value obtained for the theoretical density is 6.7 g/cm3. As for the raw formation energy: -0.7757 eV/atom. Its space group is No. 123.

The structure in extended XYZ format:
```
4
Lattice="-1.4699 -1.1526 3.4550 -2.7685 -2.0673 -1.8675 4.5721 -6.0553 -0.0748" Properties=species:S:1:pos:R:3 pbc="T T T"
Pm -2.1192 -1.6099 0.7937
Ga 0.1668 -4.6376 0.7563
Te 3.4871 -4.6183 -0.0571
Te 1.0850 -1.4369 -0.0178
```

=====

No. 12
Computed, not measured: crystalline Na3PaSn2Te6 at its relaxed geometry at the PBE level of DFT.

Computed properties:
The value obtained for the theoretical density is 5.4 g/cm3. As for the raw formation energy: -0.7395 eV/atom. Its space group is No. 12.

The structure in extended XYZ format:
```
12
Lattice="-5.8022 -3.7683 -3.8285 7.5355 -2.0701 -1.2058 -1.0395 -2.9083 7.1695" Properties=species:S:1:pos:R:3 pbc="T T T"
Sn 3.0683 -2.6389 -2.0842
Sn -1.3350 -3.1995 -2.9501
Na 0.3469 -4.3734 1.0676
Na -4.0046 -4.9274 0.2119
Na 4.6984 -3.8193 1.9233
Te -0.3838 -3.6347 4.3053
Te 1.0776 -5.1120 -2.1701
Te 2.6454 -6.4272 2.0818
Te -1.9517 -2.3195 0.0534
Te 2.2886 -1.7796 0.8872
Te -1.5948 -6.9671 1.2480
Pa 0.0000 0.0000 0.0000
```

=====

No. 13
Computed, not measured: crystalline CsBaSr2Rh at its relaxed geometry at the PBE level of DFT.

Computed properties:
The value obtained for the theoretical density is 3.7 g/cm3. Its space group is No. 123. For the energy of formation from the pure elements, the calculation gives 0.76 eV/atom. The offset from the most stable computed form is 812 meV/atom.

The structure in extended XYZ format:
```
5
Lattice="6.8905 0.0000 0.0000 0.0000 5.1349 0.0000 0.0000 0.0000 6.8905" Properties=species:S:1:pos:R:3 pbc="T T T"
Sr 0.0000 0.0000 3.4452
Sr 3.4452 0.0000 0.0000
Cs 0.0000 0.0000 0.0000
Rh 0.0000 2.5675 0.0000
Ba 3.4452 2.5675 3.4452
```